# 1
# Li3SiBiBO7 | Alexandria | GGA-PBEsol | relaxed
data_Li3SiBiBO7
_cell_length_a 5.0696
_cell_length_b 6.7139
_cell_length_c 8.7614
_cell_angle_alpha 90.00
_cell_angle_beta 96.57
_cell_angle_gamma 90.00
_symmetry_space_group_name_H-M 'P 1 21/m 1'
_symmetry_Int_Tables_number 11
_symmetry_space_group_name_Hall '-P 2yb'
loop_
_atom_site_label
_atom_site_fract_x
_atom_site_fract_y
_atom_site_fract_z
Li1 0.1927 0.2500 0.0900
Li2 0.2828 0.5391 0.7528
Si1 0.2475 0.2500 0.4027
Bi1 0.2180 0.7500 0.3264
B1 0.3480 0.7500 0.0359
O1 0.0876 0.7500 0.0702
O2 0.1216 0.0681 0.2909
O3 0.1662 0.2500 0.5763
O4 0.4223 0.7500 0.8919
O5 0.4247 0.7500 0.5802
O6 0.4574 0.2500 0.8352
# - density (g/cm3) = 4.268
# - energy relative to the elements, uncorrected (eV/f.u.) = -26.744

=====

# 2
# MgBi2B | Alexandria | GGA-PBEsol | relaxed
data_MgBi2B
_cell_length_a 7.1041
_cell_length_b 7.1041
_cell_length_c 7.1041
_cell_angle_alpha 90.00
_cell_angle_beta 90.00
_cell_angle_gamma 90.00
_symmetry_space_group_name_H-M 'F m -3 m'
_symmetry_Int_Tables_number 225
_symmetry_space_group_name_Hall '-F 4 2 3'
loop_
_atom_site_label
_atom_site_fract_x
_atom_site_fract_y
_atom_site_fract_z
Mg1 0.0000 0.0000 0.0000
Bi1 0.2500 0.2500 0.2500
B1 0.0000 0.0000 0.5000
# - density (g/cm3) = 8.394
# - DFT formation energy (eV per atom) = 0.83

=====

# 3
# Mg2BiB | Alexandria | GGA-PBEsol | relaxed
data_Mg2BiB
_cell_length_a 6.8163
_cell_length_b 6.8163
_cell_length_c 6.8163
_cell_angle_alpha 90.00
_cell_angle_beta 90.00
_cell_angle_gamma 90.00
_symmetry_space_group_name_H-M 'F m -3 m'
_symmetry_Int_Tables_number 225
_symmetry_space_group_name_Hall '-F 4 2 3'
loop_
_atom_site_label
_atom_site_fract_x
_atom_site_fract_y
_atom_site_fract_z
Mg1 0.2500 0.2500 0.2500
Bi1 0.0000 0.0000 0.0000
B1 0.0000 0.0000 0.5000
# - density (g/cm3) = 5.629
# - DFT formation energy (eV per atom) = 0.66

=====

# 4
# MnBiB3 | Alexandria | GGA-PBEsol | relaxed
data_MnBiB3
_cell_length_a 4.6056
_cell_length_b 4.6056
_cell_length_c 4.6056
_cell_angle_alpha 90.00
_cell_angle_beta 90.00
_cell_angle_gamma 90.00
_symmetry_space_group_name_H-M 'P m -3 m'
_symmetry_Int_Tables_number 221
_symmetry_space_group_name_Hall '-P 4 2 3'
loop_
_atom_site_label
_atom_site_fract_x
_atom_site_fract_y
_atom_site_fract_z
Mn1 0.0000 0.0000 0.0000
Bi1 0.5000 0.5000 0.5000
B1 0.0000 0.5000 0.5000
# - density (g/cm3) = 5.037
# - DFT formation energy (eV per atom) = 2.76

=====

# 5
# BiBN3 | Alexandria | GGA-PBEsol | relaxed
data_BiBN3
_cell_length_a 4.3412
_cell_length_b 4.3412
_cell_length_c 4.3412
_cell_angle_alpha 90.00
_cell_angle_beta 90.00
_cell_angle_gamma 90.00
_symmetry_space_group_name_H-M 'P m -3 m'
_symmetry_Int_Tables_number 221
_symmetry_space_group_name_Hall '-P 4 2 3'
loop_
_atom_site_label
_atom_site_fract_x
_atom_site_fract_y
_atom_site_fract_z
Bi1 0.0000 0.0000 0.0000
B1 0.5000 0.5000 0.5000
N1 0.0000 0.0000 0.5000
# - density (g/cm3) = 5.314
# - energy relative to the elements, uncorrected (eV/f.u.) = 14.752

=====

# 6
# NaBi3B | Alexandria | GGA-PBEsol | relaxed
data_NaBi3B
_cell_length_a 5.3708
_cell_length_b 5.3708
_cell_length_c 5.3708
_cell_angle_alpha 90.00
_cell_angle_beta 90.00
_cell_angle_gamma 90.00
_symmetry_space_group_name_H-M 'P m -3 m'
_symmetry_Int_Tables_number 221
_symmetry_space_group_name_Hall '-P 4 2 3'
loop_
_atom_site_label
_atom_site_fract_x
_atom_site_fract_y
_atom_site_fract_z
Na1 0.0000 0.0000 0.0000
Bi1 0.0000 0.0000 0.5000
B1 0.5000 0.5000 0.5000
# - density (g/cm3) = 7.082
# - DFT formation energy (eV per atom) = 1.57

=====

# 7
# Na3BiB2O6 | Alexandria | GGA-PBEsol | relaxed
data_Na3BiB2O6
_cell_length_a 9.5429
_cell_length_b 6.3521
_cell_length_c 10.4120
_cell_angle_alpha 90.00
_cell_angle_beta 113.66
_cell_angle_gamma 90.00
_symmetry_space_group_name_H-M 'P 1 21/c 1'
_symmetry_Int_Tables_number 14
_symmetry_space_group_name_Hall '-P 2ybc'
loop_
_atom_site_label
_atom_site_fract_x
_atom_site_fract_y
_atom_site_fract_z
Na1 0.0683 0.2277 0.0155
Na2 0.2296 0.5888 0.1623
Na3 0.2924 0.5994 0.4802
Bi1 0.3149 0.0928 0.3489
B1 0.0242 0.5961 0.7708
B2 0.4780 0.2327 0.1967
O1 0.1053 0.5866 0.9149
O2 0.1091 0.5791 0.6866
O3 0.1333 0.1121 0.7935
O4 0.3206 0.1974 0.1365
O5 0.4393 0.7240 0.8830
O6 0.4519 0.7097 0.1606
# - density (g/cm3) = 4.545
# - energy relative to the elements, uncorrected (eV/f.u.) = -23.741

=====

# 8
# Na3BiBPO7 | Alexandria | GGA-PBEsol | relaxed
data_Na3BiBPO7
_cell_length_a 5.2943
_cell_length_b 7.0047
_cell_length_c 9.3299
_cell_angle_alpha 90.00
_cell_angle_beta 91.29
_cell_angle_gamma 90.00
_symmetry_space_group_name_H-M 'P 1 21/m 1'
_symmetry_Int_Tables_number 11
_symmetry_space_group_name_Hall '-P 2yb'
loop_
_atom_site_label
_atom_site_fract_x
_atom_site_fract_y
_atom_site_fract_z
Na1 0.2376 0.2500 0.4385
Na2 0.2476 0.5082 0.7356
Bi1 0.2294 0.7500 0.1406
B1 0.2603 0.7500 0.4285
P1 0.2842 0.2500 0.1004
O1 0.0302 0.7500 0.3480
O2 0.1703 0.0752 0.1797
O3 0.2106 0.2500 0.9372
O4 0.2697 0.7500 0.5721
O5 0.4263 0.7500 0.8849
O6 0.4770 0.7500 0.3429
# - density (g/cm3) = 4.145
# - energy relative to the elements, uncorrected (eV/f.u.) = -26.657

=====

# 9
# Na2BiBSO7 | Alexandria | GGA-PBEsol | relaxed
data_Na2BiBSO7
_cell_length_a 5.3330
_cell_length_b 6.9784
_cell_length_c 9.7663
_cell_angle_alpha 90.00
_cell_angle_beta 90.34
_cell_angle_gamma 90.00
_symmetry_space_group_name_H-M 'P 1 21/m 1'
_symmetry_Int_Tables_number 11
_symmetry_space_group_name_Hall '-P 2yb'
loop_
_atom_site_label
_atom_site_fract_x
_atom_site_fract_y
_atom_site_fract_z
Na1 0.2332 0.0068 0.3262
Bi1 0.2911 0.2500 0.8761
B1 0.2678 0.2500 0.6070
S1 0.2211 0.7500 0.8886
O1 0.0317 0.2500 0.1713
O2 0.0559 0.2500 0.6977
O3 0.2060 0.7500 0.0416
O4 0.2541 0.2500 0.4730
O5 0.3705 0.5799 0.8430
O6 0.4934 0.2500 0.6873
# - density (g/cm3) = 3.745
# - energy relative to the elements, uncorrected (eV/f.u.) = -21.140

=====

# 10
# Na4Bi2B4SO16 | Alexandria | GGA-PBEsol | relaxed
data_Na4Bi2B4SO16
_cell_length_a 14.0304
_cell_length_b 14.1709
_cell_length_c 14.6811
_cell_angle_alpha 90.00
_cell_angle_beta 90.00
_cell_angle_gamma 90.00
_symmetry_space_group_name_H-M 'F d d d'
_symmetry_Int_Tables_number 70
loop_
_symmetry_equiv_pos_as_xyz
'x,y,z'
'-x,-y,-z'
'-x+1/4,-y+1/4,z'
'x+1/4,y+1/4,-z'
'x,-y+1/4,-z+1/4'
'-x,y+1/4,z+1/4'
'-x+1/4,y,-z+1/4'
'x+1/4,-y,z+1/4'
'x,y+1/2,z+1/2'
'-x,-y+1/2,-z+1/2'
'-x+1/4,-y+3/4,z+1/2'
'x+1/4,y+3/4,-z+1/2'
'x,-y+3/4,-z+3/4'
'-x,y+3/4,z+3/4'
'-x+1/4,y+1/2,-z+3/4'
'x+1/4,-y+1/2,z+3/4'
'x+1/2,y,z+1/2'
'-x+1/2,-y,-z+1/2'
'-x+3/4,-y+1/4,z+1/2'
'x+3/4,y+1/4,-z+1/2'
'x+1/2,-y+1/4,-z+3/4'
'-x+1/2,y+1/4,z+3/4'
'-x+3/4,y,-z+3/4'
'x+3/4,-y,z+3/4'
'x+1/2,y+1/2,z'
'-x+1/2,-y+1/2,-z'
'-x+3/4,-y+3/4,z'
'x+3/4,y+3/4,-z'
'x+1/2,-y+3/4,-z+1/4'
'-x+1/2,y+3/4,z+1/4'
'-x+3/4,y+1/2,-z+1/4'
'x+3/4,-y+1/2,z+1/4'
loop_
_atom_site_label
_atom_site_fract_x
_atom_site_fract_y
_atom_site_fract_z
Na1 0.0784 0.3750 0.3750
Na2 0.1250 0.3279 0.1250
Bi1 0.0000 0.0000 0.5000
B1 0.0321 0.0337 0.7111
S1 0.1250 0.1250 0.1250
O1 0.0208 0.1033 0.7761
O2 0.0304 0.2784 0.8892
O3 0.0629 0.0633 0.0678
O4 0.1034 0.2830 0.5276
# - density (g/cm3) = 3.828
# - energy relative to the elements, uncorrected (eV/f.u.) = -47.205

=====

# 11
# Na2SiBiBO7 | Alexandria | GGA-PBEsol | relaxed
data_Na2SiBiBO7
_cell_length_a 5.4102
_cell_length_b 6.7994
_cell_length_c 9.5568
_cell_angle_alpha 90.00
_cell_angle_beta 93.47
_cell_angle_gamma 90.00
_symmetry_space_group_name_H-M 'P 1 21/m 1'
_symmetry_Int_Tables_number 11
_symmetry_space_group_name_Hall '-P 2yb'
loop_
_atom_site_label
_atom_site_fract_x
_atom_site_fract_y
_atom_site_fract_z
Na1 0.2377 0.0002 0.3074
Si1 0.2677 0.2500 0.9317
Bi1 0.2138 0.7500 0.8517
B1 0.2696 0.7500 0.5816
O1 0.0379 0.7500 0.6446
O2 0.1572 0.2500 0.0881
O3 0.1732 0.0610 0.8374
O4 0.3097 0.7500 0.4477
O5 0.4248 0.7500 0.0455
O6 0.4681 0.7500 0.6908
# - density (g/cm3) = 3.841
# - energy relative to the elements, uncorrected (eV/f.u.) = -22.485

=====

# 12
# Na3SiBiBO7 | Alexandria | GGA-PBEsol | relaxed
data_Na3SiBiBO7
_cell_length_a 5.3156
_cell_length_b 6.9335
_cell_length_c 9.2301
_cell_angle_alpha 90.00
_cell_angle_beta 90.00
_cell_angle_gamma 90.00
_symmetry_space_group_name_H-M 'P 1 21/m 1'
_symmetry_Int_Tables_number 11
_symmetry_space_group_name_Hall '-P 2yb'
loop_
_atom_site_label
_atom_site_fract_x
_atom_site_fract_y
_atom_site_fract_z
Na1 0.2386 0.2500 0.4252
Na2 0.2511 0.5072 0.7419
Si1 0.2901 0.2500 0.0854
Bi1 0.2198 0.7500 0.1504
B1 0.2725 0.7500 0.4398
O1 0.0360 0.7500 0.3713
O2 0.1836 0.2500 0.9184
O3 0.1912 0.0676 0.1840
O4 0.3069 0.7500 0.5840
O5 0.4001 0.7500 0.9240
O6 0.4800 0.7500 0.3434
# - density (g/cm3) = 4.187
# - energy relative to the elements, uncorrected (eV/f.u.) = -26.006